Crystalline TbHS at its relaxed geometry, computed with PBE-GGA.

Summary:
Final energy   -5.070 eV per atom
SG   No. 107

```
TbHS
1.0
-0.685 0.063 -3.612
-1.670 -3.265 0.259
-2.120 3.340 2.332
H S Tb
1 1 1
Direct
0.351 0.351 0.703
0.008 0.008 0.016
0.641 0.641 0.281
```


Crystalline Tb2TeH2S at its relaxed geometry, computed with PBE-GGA.

Summary:
Final energy   -5.205 eV per atom
SG   No. 164

```
Tb2TeH2S
1.0
3.889 0.000 0.000
-1.945 3.368 0.000
0.000 0.000 8.003
Tb Te H S
2 1 2 1
Direct
0.333 0.667 0.726
0.667 0.333 0.274
0.000 0.000 0.000
0.333 0.667 0.263
0.667 0.333 0.737
0.000 0.000 0.500
```